Entry 1:
Compound: Sm2AlHg
Source: the Alexandria database
Functional: PBE
Structure: optimized geometry

Structure (CIF):
```
data_Sm2AlHg
_chemical_formula_sum 'Sm2 Al1 Hg1'
_cell_length_a 3.5635
_cell_length_b 3.5635
_cell_length_c 8.1876
_cell_angle_alpha 90.00
_cell_angle_beta 90.00
_cell_angle_gamma 90.00
_symmetry_space_group_name_H-M 'P 4/m m m'
_symmetry_Int_Tables_number 123
_symmetry_space_group_name_Hall '-P 4 2'
loop_
_atom_site_label
_atom_site_fract_x
_atom_site_fract_y
_atom_site_fract_z
Sm1 0.0000 0.0000 0.2397
Al1 0.5000 0.5000 0.0000
Hg1 0.5000 0.5000 0.5000
```

Calculated values
DFT formation energy: -0.428 eV/atom
mass density: 8.438 g cm⁻³
total DFT energy (no corrections): -15.19 eV per cell
E above lowest polymorph: 0.0 meV per atom



Entry 2:
Compound: Sm6Al2Hg
Source: the Alexandria database
Functional: PBE
Structure: optimized geometry

Structure (CIF):
```
data_Sm6Al2Hg
_chemical_formula_sum 'Sm12 Al4 Hg2'
_cell_length_a 16.2391
_cell_length_b 7.3499
_cell_length_c 5.1163
_cell_angle_alpha 90.00
_cell_angle_beta 108.26
_cell_angle_gamma 90.00
_symmetry_space_group_name_H-M 'C 1 2/m 1'
_symmetry_Int_Tables_number 12
loop_
_symmetry_equiv_pos_as_xyz
'x,y,z'
'-x,-y,-z'
'-x,y,-z'
'x,-y,z'
'x+1/2,y+1/2,z'
'-x+1/2,-y+1/2,-z'
'-x+1/2,y+1/2,-z'
'x+1/2,-y+1/2,z'
loop_
_atom_site_label
_atom_site_fract_x
_atom_site_fract_y
_atom_site_fract_z
Sm1 0.0000 0.2456 0.0000
Sm2 0.1680 0.2492 0.6675
Al1 0.1671 0.0000 0.1666
Hg1 0.0000 0.5000 0.5000
```

Calculated values
DFT formation energy: -0.052 eV/atom
mass density: 6.624 g cm⁻³
total DFT energy (no corrections): -73.15 eV per cell
E above lowest polymorph: 197.3 meV per atom



Entry 3:
Compound: Sm5Al4Hg
Source: the Alexandria database
Functional: PBE
Structure: optimized geometry

Structure (CIF):
```
data_Sm5Al4Hg
_chemical_formula_sum 'Sm5 Al4 Hg1'
_cell_length_a 3.6739
_cell_length_b 3.6739
_cell_length_c 18.8334
_cell_angle_alpha 90.00
_cell_angle_beta 90.00
_cell_angle_gamma 90.00
_symmetry_space_group_name_H-M 'P 4/m m m'
_symmetry_Int_Tables_number 123
_symmetry_space_group_name_Hall '-P 4 2'
loop_
_atom_site_label
_atom_site_fract_x
_atom_site_fract_y
_atom_site_fract_z
Sm1 0.0000 0.0000 0.0000
Sm2 0.0000 0.0000 0.1949
Sm3 0.0000 0.0000 0.3921
Al1 0.5000 0.5000 0.0973
Al2 0.5000 0.5000 0.2946
Hg1 0.5000 0.5000 0.5000
```

Calculated values
DFT formation energy: -0.393 eV/atom
mass density: 6.926 g cm⁻³
total DFT energy (no corrections): -42.80 eV per cell



Entry 4:
Compound: Sm4AlHg3
Source: the Alexandria database
Functional: PBE
Structure: optimized geometry

Structure (CIF):
```
data_Sm4AlHg3
_chemical_formula_sum 'Sm4 Al1 Hg3'
_cell_length_a 3.7392
_cell_length_b 3.7392
_cell_length_c 15.3107
_cell_angle_alpha 90.00
_cell_angle_beta 90.00
_cell_angle_gamma 90.00
_symmetry_space_group_name_H-M 'P 4/m m m'
_symmetry_Int_Tables_number 123
_symmetry_space_group_name_Hall '-P 4 2'
loop_
_atom_site_label
_atom_site_fract_x
_atom_site_fract_y
_atom_site_fract_z
Sm1 0.0000 0.0000 0.1185
Sm2 0.0000 0.0000 0.3732
Al1 0.5000 0.5000 0.0000
Hg1 0.5000 0.5000 0.2448
Hg2 0.5000 0.5000 0.5000
```

Calculated values
DFT formation energy: -0.443 eV/atom
mass density: 9.543 g cm⁻³
total DFT energy (no corrections): -27.07 eV per cell